This record from the Alexandria database describes a relaxed structure of NbCu2WF. The functional is PBE with a Hubbard U.

a = 4.7771 Å, b = 4.7771 Å, c = 4.7915 Å
α = 90.00°, β = 90.00°, γ = 90.00°
Last column: nearest neighbours and their distance in Å.
Space group P4/mmm (No. 123)
Asymmetric unit:
Nb1 0.0000 0.0000 0.0000  4 Cu 2.39, 2 W 2.40
Cu1 0.0000 0.5000 0.0000  2 Nb 2.39
W1 0.0000 0.0000 0.5000  2 Nb 2.40
F1 0.5000 0.5000 0.5000  4 W 3.38, 8 Cu 3.38

Calculated values
uncorrected energy: -3.765 eV per atom
density: 6.421 Mg/m³
total magnetization: 0.00 μB/f.u.
DOS at the Fermi energy: 2.1 states/eV per cell